No. 1
# Pr8Ge3RuI4 | Alexandria via LeMat-Bulk | PBE | relaxed
data_Pr8Ge3RuI4
_chemical_formula_sum 'Pr24 Ge9 Ru3 I12'
_space_group_name_H-M_alt 'R -3 m'
_space_group_IT_number 166
_space_group_name_Hall '-R 3 2"'
_cell_length_a 8.7551
_cell_length_b 8.7551
_cell_length_c 23.4655
_cell_angle_alpha 90.00
_cell_angle_beta 90.00
_cell_angle_gamma 120.00
loop_
_atom_site_label
_atom_site_fract_x
_atom_site_fract_y
_atom_site_fract_z
Pr1 0.0000 0.0000 0.2340
Pr2 0.0147 0.5073 0.2306
Ge1 0.0000 0.5000 0.5000
Ru1 0.0000 0.0000 0.5000
I1 0.0000 0.0000 0.0000
I2 0.0000 0.5000 0.0000
# DOS at the Fermi energy = 0.78 states/eV per atom
# E_form (uncorrected) = -917 meV per atom
# Mass density = 6.248 g/cm³
# Energy = -5.14 eV/atom


No. 2
# K2Ce2InS6 | Alexandria via LeMat-Bulk | PBE | relaxed
data_K2Ce2InS6
_chemical_formula_sum 'K4 Ce4 In2 S12'
_space_group_name_H-M_alt 'C 1 2/m 1'
_space_group_IT_number 12
_cell_length_a 7.005
_cell_length_b 12.173
_cell_length_c 7.885
_cell_angle_alpha 90.00
_cell_angle_beta 106.75
_cell_angle_gamma 90.00
loop_
_space_group_symop_operation_xyz
'x,y,z'
'-x,-y,-z'
'-x,y,-z'
'x,-y,z'
'x+1/2,y+1/2,z'
'-x+1/2,-y+1/2,-z'
'-x+1/2,y+1/2,-z'
'x+1/2,-y+1/2,z'
loop_
_atom_site_label
_atom_site_fract_x
_atom_site_fract_y
_atom_site_fract_z
K1 0.000 0.166 0.000
Ce1 0.000 0.333 0.500
In1 0.000 0.000 0.500
S1 0.228 0.165 0.698
S2 0.250 0.000 0.306
# DOS at the Fermi energy = 0.55 states/eV per atom
# E_form (uncorrected) = -1458 meV per atom
# Mass density = 3.434 g/cm³
# Energy = -5.24 eV/atom


No. 3
# TaCrPd | Alexandria via LeMat-Bulk | PBE | relaxed
data_TaCrPd
_chemical_formula_sum 'Ta6 Cr6 Pd6'
_space_group_name_H-M_alt 'R -3 m'
_space_group_IT_number 166
_space_group_name_Hall '-R 3 2"'
_cell_length_a 4.3734
_cell_length_b 4.3734
_cell_length_c 18.1773
_cell_angle_alpha 90.00
_cell_angle_beta 90.00
_cell_angle_gamma 120.00
loop_
_atom_site_label
_atom_site_fract_x
_atom_site_fract_y
_atom_site_fract_z
Ta1 0.0000 0.0000 0.0756
Cr1 0.0000 0.0000 0.2037
Pd1 0.0000 0.0000 0.3646
# DOS at the Fermi energy = 1.04 states/eV per atom
# Mass density = 11.230 g/cm³
# ΔH_f (0 K) = 0.43 eV/atom
# Energy = -8.46 eV/atom


No. 4
# Bi2RuPt | Alexandria via LeMat-Bulk | PBE | relaxed
data_Bi2RuPt
_chemical_formula_sum 'Bi8 Ru4 Pt4'
_space_group_name_H-M_alt 'F m -3 m'
_space_group_IT_number 225
_space_group_name_Hall '-F 4 2 3'
_cell_length_a 6.953
_cell_length_b 6.953
_cell_length_c 6.953
_cell_angle_alpha 90.00
_cell_angle_beta 90.00
_cell_angle_gamma 90.00
loop_
_atom_site_label
_atom_site_fract_x
_atom_site_fract_y
_atom_site_fract_z
Bi1 0.250 0.250 0.250
Ru1 0.000 0.000 0.000
Pt1 0.000 0.000 0.500
# DOS at the Fermi energy = 0.95 states/eV per atom
# Mass density = 14.108 g/cm³
# ΔH_f (0 K) = 0.31 eV/atom
# Energy = -5.46 eV/atom
# ΔE to the lowest computed polymorph = 0.00 eV per formula unit


No. 5
# AgPdPb | Alexandria via LeMat-Bulk | PBE | relaxed
data_AgPdPb
_chemical_formula_sum 'Ag2 Pd2 Pb2'
_space_group_name_H-M_alt 'P 42/m m c'
_space_group_IT_number 131
_space_group_name_Hall '-P 4c 2'
_cell_length_a 4.762
_cell_length_b 4.762
_cell_length_c 6.069
_cell_angle_alpha 90.00
_cell_angle_beta 90.00
_cell_angle_gamma 90.00
loop_
_atom_site_label
_atom_site_fract_x
_atom_site_fract_y
_atom_site_fract_z
Ag1 0.000 0.500 0.000
Pd1 0.000 0.000 0.250
Pb1 0.000 0.500 0.500
# DOS at the Fermi energy = 0.53 states/eV per atom
# Mass density = 10.171 g/cm³
# ΔH_f (0 K) = -0.04 eV/atom
# Energy = -3.96 eV/atom
# ΔE to the lowest computed polymorph = 0.23 eV per formula unit


No. 6
# In12Sn3F5 | Alexandria via LeMat-Bulk | PBE | relaxed
data_In12Sn3F5
_chemical_formula_sum 'In96 Sn24 F40'
_space_group_name_H-M_alt 'I a -3 d'
_space_group_IT_number 230
_space_group_name_Hall '-I 4bd 2c 3'
_cell_length_a 16.440
_cell_length_b 16.440
_cell_length_c 16.440
_cell_angle_alpha 90.00
_cell_angle_beta 90.00
_cell_angle_gamma 90.00
loop_
_atom_site_label
_atom_site_fract_x
_atom_site_fract_y
_atom_site_fract_z
In1 0.032 0.058 0.647
Sn1 0.000 0.250 0.125
F1 0.000 0.000 0.000
F2 0.000 0.250 0.375
# DOS at the Fermi energy = 0.48 states/eV per atom
# E_form (uncorrected) = -629 meV per atom
# Mass density = 5.468 g/cm³
# Energy = -3.34 eV/atom


No. 7
# Rb2SnH | Alexandria via LeMat-Bulk | PBE | relaxed
data_Rb2SnH
_chemical_formula_sum 'Rb8 Sn4 H4'
_space_group_name_H-M_alt 'I -4 2 d'
_space_group_IT_number 122
_space_group_name_Hall 'I -4 2bw'
_cell_length_a 8.236
_cell_length_b 8.236
_cell_length_c 9.491
_cell_angle_alpha 90.00
_cell_angle_beta 90.00
_cell_angle_gamma 90.00
loop_
_atom_site_label
_atom_site_fract_x
_atom_site_fract_y
_atom_site_fract_z
Rb1 0.144 0.750 0.125
Sn1 0.000 0.000 0.500
H1 0.000 0.000 0.000
# DOS at the Fermi energy = 0.39 states/eV per atom
# Mass density = 2.999 g/cm³
# Energy = -2.12 eV/atom
# ΔE to the lowest computed polymorph = 0.19 eV per formula unit


No. 8
# CuSiAg2 | Alexandria via LeMat-Bulk | PBE | relaxed
data_CuSiAg2
_chemical_formula_sum 'Cu3 Si3 Ag6'
_space_group_name_H-M_alt 'R -3 m'
_space_group_IT_number 166
_space_group_name_Hall '-R 3 2"'
_cell_length_a 2.8785
_cell_length_b 2.8785
_cell_length_c 26.5561
_cell_angle_alpha 90.00
_cell_angle_beta 90.00
_cell_angle_gamma 120.00
loop_
_atom_site_label
_atom_site_fract_x
_atom_site_fract_y
_atom_site_fract_z
Cu1 0.0000 0.0000 0.0000
Si1 0.0000 0.0000 0.5000
Ag1 0.0000 0.0000 0.2514
# DOS at the Fermi energy = 0.34 states/eV per atom
# E_form (uncorrected) = 220 meV per atom
# Mass density = 8.035 g/cm³
# Energy = -3.59 eV/atom


No. 9
# Ac3Tb2CeSe6 | Alexandria via LeMat-Bulk | PBE | relaxed
data_Ac3Tb2CeSe6
_chemical_formula_sum 'Ac6 Tb4 Ce2 Se12'
_space_group_name_H-M_alt 'C 1 2/m 1'
_space_group_IT_number 12
_cell_length_a 7.343
_cell_length_b 12.748
_cell_length_c 7.613
_cell_angle_alpha 90.00
_cell_angle_beta 108.88
_cell_angle_gamma 90.00
loop_
_space_group_symop_operation_xyz
'x,y,z'
'-x,-y,-z'
'-x,y,-z'
'x,-y,z'
'x+1/2,y+1/2,z'
'-x+1/2,-y+1/2,-z'
'-x+1/2,y+1/2,-z'
'x+1/2,-y+1/2,z'
loop_
_atom_site_label
_atom_site_fract_x
_atom_site_fract_y
_atom_site_fract_z
Ac1 0.000 0.000 0.000
Ac2 0.000 0.335 0.000
Tb1 0.000 0.167 0.500
Ce1 0.000 0.500 0.500
Se1 0.235 0.000 0.724
Se2 0.245 0.330 0.726
# DOS at the Fermi energy = 0.92 states/eV per atom
# E_form (uncorrected) = -1817 meV per atom
# Mass density = 7.943 g/cm³
# Energy = -5.85 eV/atom


No. 10
# TaWCl2 | Alexandria via LeMat-Bulk | PBE | relaxed
data_TaWCl2
_chemical_formula_sum 'Ta1 W1 Cl2'
_space_group_name_H-M_alt 'P 1 2/m 1'
_space_group_IT_number 10
_cell_length_a 3.451
_cell_length_b 4.385
_cell_length_c 4.581
_cell_angle_alpha 90.00
_cell_angle_beta 90.27
_cell_angle_gamma 90.00
loop_
_space_group_symop_operation_xyz
'x,y,z'
'-x,-y,-z'
'-x,y,-z'
'x,-y,z'
loop_
_atom_site_label
_atom_site_fract_x
_atom_site_fract_y
_atom_site_fract_z
Ta1 0.000 0.000 0.000
W1 0.500 0.000 0.500
Cl1 0.250 0.500 0.253
# DOS at the Fermi energy = 0.94 states/eV per atom
# E_form (uncorrected) = 585 meV per atom
# Mass density = 10.437 g/cm³
# Energy = -6.54 eV/atom
# ΔE to the lowest computed polymorph = 4.01 eV per formula unit


No. 11
# CeY5Bi4 | Alexandria via LeMat-Bulk | PBE | relaxed
data_CeY5Bi4
_chemical_formula_sum 'Ce2 Y10 Bi8'
_space_group_name_H-M_alt 'C 1 2/m 1'
_space_group_IT_number 12
_cell_length_a 19.064
_cell_length_b 4.451
_cell_length_c 8.556
_cell_angle_alpha 90.00
_cell_angle_beta 106.31
_cell_angle_gamma 90.00
loop_
_space_group_symop_operation_xyz
'x,y,z'
'-x,-y,-z'
'-x,y,-z'
'x,-y,z'
'x+1/2,y+1/2,z'
'-x+1/2,-y+1/2,-z'
'-x+1/2,y+1/2,-z'
'x+1/2,-y+1/2,z'
loop_
_atom_site_label
_atom_site_fract_x
_atom_site_fract_y
_atom_site_fract_z
Ce1 0.000 0.000 0.000
Y1 0.000 0.000 0.500
Y2 0.160 0.500 0.808
Y3 0.185 0.500 0.349
Bi1 0.014 0.500 0.267
Bi2 0.172 0.000 0.080
# DOS at the Fermi energy = 1.29 states/eV per atom
# Mass density = 6.771 g/cm³
# ΔH_f (0 K) = -0.49 eV/atom
# Energy = -5.87 eV/atom


No. 12
# Er2Sc6Co | Alexandria via LeMat-Bulk | PBE | relaxed
data_Er2Sc6Co
_chemical_formula_sum 'Er4 Sc12 Co2'
_space_group_name_H-M_alt 'C 1 2/m 1'
_space_group_IT_number 12
_cell_length_a 15.585
_cell_length_b 8.734
_cell_length_c 3.376
_cell_angle_alpha 90.00
_cell_angle_beta 90.11
_cell_angle_gamma 90.00
loop_
_space_group_symop_operation_xyz
'x,y,z'
'-x,-y,-z'
'-x,y,-z'
'x,-y,z'
'x+1/2,y+1/2,z'
'-x+1/2,-y+1/2,-z'
'-x+1/2,y+1/2,-z'
'x+1/2,-y+1/2,z'
loop_
_atom_site_label
_atom_site_fract_x
_atom_site_fract_y
_atom_site_fract_z
Er1 0.161 0.000 0.499
Sc1 0.000 0.296 0.500
Sc2 0.167 0.337 0.001
Co1 0.000 0.500 0.000
# DOS at the Fermi energy = 1.57 states/eV per atom
# Mass density = 4.794 g/cm³
# ΔH_f (0 K) = 0.15 eV/atom
# Energy = -5.88 eV/atom


No. 13
# CoPdBr2 | Alexandria via LeMat-Bulk | PBE | relaxed
data_CoPdBr2
_chemical_formula_sum 'Co3 Pd3 Br6'
_space_group_name_H-M_alt 'R -3 m'
_space_group_IT_number 166
_space_group_name_Hall '-R 3 2"'
_cell_length_a 3.6145
_cell_length_b 3.6145
_cell_length_c 23.5810
_cell_angle_alpha 90.00
_cell_angle_beta 90.00
_cell_angle_gamma 120.00
loop_
_atom_site_label
_atom_site_fract_x
_atom_site_fract_y
_atom_site_fract_z
Co1 0.0000 0.0000 0.0000
Pd1 0.0000 0.0000 0.5000
Br1 0.0000 0.0000 0.3953
# DOS at the Fermi energy = 2.64 states/eV per atom
# E_form (uncorrected) = 130 meV per atom
# Mass density = 6.071 g/cm³
# Energy = -3.78 eV/atom
# ΔE to the lowest computed polymorph = 0.00 eV per formula unit


No. 14
# La2TbPr6Tm | Alexandria via LeMat-Bulk | PBE | relaxed
data_La2TbPr6Tm
_chemical_formula_sum 'La8 Tb4 Pr24 Tm4'
_space_group_name_H-M_alt 'C 1 2/c 1'
_space_group_IT_number 15
_cell_length_a 9.270
_cell_length_b 15.367
_cell_length_c 10.151
_cell_angle_alpha 90.00
_cell_angle_beta 100.21
_cell_angle_gamma 90.00
loop_
_space_group_symop_operation_xyz
'x,y,z'
'-x,-y,-z'
'-x,y,-z+1/2'
'x,-y,z+1/2'
'x+1/2,y+1/2,z'
'-x+1/2,-y+1/2,-z'
'-x+1/2,y+1/2,-z+1/2'
'x+1/2,-y+1/2,z+1/2'
loop_
_atom_site_label
_atom_site_fract_x
_atom_site_fract_y
_atom_site_fract_z
La1 0.242 0.048 0.042
Tb1 0.000 0.013 0.750
Pr1 0.067 0.189 0.445
Pr2 0.103 0.399 0.621
Pr3 0.202 0.218 0.810
Tm1 0.000 0.405 0.250
# DOS at the Fermi energy = 1.55 states/eV per atom
# Mass density = 6.773 g/cm³
# ΔH_f (0 K) = 0.11 eV/atom
# Energy = -4.65 eV/atom


No. 15
# PrSm3Ru | Alexandria via LeMat-Bulk | PBE | relaxed
data_PrSm3Ru
_chemical_formula_sum 'Pr2 Sm6 Ru2'
_space_group_name_H-M_alt 'P m n 21'
_space_group_IT_number 31
_cell_length_a 7.781
_cell_length_b 6.560
_cell_length_c 6.384
_cell_angle_alpha 90.00
_cell_angle_beta 90.00
_cell_angle_gamma 90.00
loop_
_space_group_symop_operation_xyz
'x,y,z'
'-x+1/2,-y,z+1/2'
'-x,y,z'
'x+1/2,-y,z+1/2'
loop_
_atom_site_label
_atom_site_fract_x
_atom_site_fract_y
_atom_site_fract_z
Pr1 0.000 0.154 0.000
Sm1 0.000 0.840 0.488
Sm2 0.249 0.324 0.494
Ru1 0.000 0.503 0.742
# DOS at the Fermi energy = 1.22 states/eV per atom
# Mass density = 7.063 g/cm³
# ΔH_f (0 K) = -0.09 eV/atom
# Energy = -5.73 eV/atom
# ΔE to the lowest computed polymorph = 0.36 eV per formula unit


No. 16
# Li5ZnPb | Alexandria via LeMat-Bulk | PBE | relaxed
data_Li5ZnPb
_chemical_formula_sum 'Li20 Zn4 Pb4'
_space_group_name_H-M_alt 'C 1 2/c 1'
_space_group_IT_number 15
_cell_length_a 6.678
_cell_length_b 7.542
_cell_length_c 10.592
_cell_angle_alpha 90.00
_cell_angle_beta 108.10
_cell_angle_gamma 90.00
loop_
_space_group_symop_operation_xyz
'x,y,z'
'-x,-y,-z'
'-x,y,-z+1/2'
'x,-y,z+1/2'
'x+1/2,y+1/2,z'
'-x+1/2,-y+1/2,-z'
'-x+1/2,y+1/2,-z+1/2'
'x+1/2,-y+1/2,z+1/2'
loop_
_atom_site_label
_atom_site_fract_x
_atom_site_fract_y
_atom_site_fract_z
Li1 0.000 0.026 0.250
Li2 0.139 0.356 0.561
Li3 0.220 0.271 0.861
Zn1 0.000 0.000 0.000
Pb1 0.000 0.405 0.250
# DOS at the Fermi energy = 0.24 states/eV per atom
# Mass density = 4.026 g/cm³
# ΔH_f (0 K) = -0.18 eV/atom
# Energy = -2.25 eV/atom


No. 17
# Ba2P2Ru | Alexandria via LeMat-Bulk | PBE | relaxed
data_Ba2P2Ru
_chemical_formula_sum 'Ba4 P4 Ru2'
_space_group_name_H-M_alt 'P 4/m b m'
_space_group_IT_number 127
_space_group_name_Hall '-P 4 2ab'
_cell_length_a 6.528
_cell_length_b 6.528
_cell_length_c 5.283
_cell_angle_alpha 90.00
_cell_angle_beta 90.00
_cell_angle_gamma 90.00
loop_
_atom_site_label
_atom_site_fract_x
_atom_site_fract_y
_atom_site_fract_z
Ba1 0.181 0.319 0.000
P1 0.130 0.630 0.500
Ru1 0.000 0.000 0.500
# DOS at the Fermi energy = 0.47 states/eV per atom
# Mass density = 6.457 g/cm³
# ΔH_f (0 K) = -0.43 eV/atom
# Energy = -5.22 eV/atom


No. 18
# CuAg3 | Alexandria via LeMat-Bulk | PBE | relaxed
data_CuAg3
_chemical_formula_sum 'Cu1 Ag3'
_space_group_name_H-M_alt 'P 1'
_space_group_IT_number 1
_cell_length_a 2.914
_cell_length_b 4.858
_cell_length_c 5.487
_cell_angle_alpha 63.87
_cell_angle_beta 74.63
_cell_angle_gamma 89.81
loop_
_space_group_symop_operation_xyz
'x,y,z'
loop_
_atom_site_label
_atom_site_fract_x
_atom_site_fract_y
_atom_site_fract_z
Cu1 0.000 0.000 0.000
Ag1 0.267 0.633 0.473
Ag2 0.500 0.486 0.999
Ag3 0.740 0.107 0.526
# DOS at the Fermi energy = 0.32 states/eV per atom
# Mass density = 9.644 g/cm³
# ΔH_f (0 K) = 0.11 eV/atom
# Energy = -3.06 eV/atom


No. 19
# LaCe3Bi3 | Alexandria via LeMat-Bulk | PBE | relaxed
data_LaCe3Bi3
_chemical_formula_sum 'La2 Ce6 Bi6'
_space_group_name_H-M_alt 'P 63/m'
_space_group_IT_number 176
_space_group_name_Hall '-P 6c'
_cell_length_a 9.4163
_cell_length_b 9.4163
_cell_length_c 5.8652
_cell_angle_alpha 90.00
_cell_angle_beta 90.00
_cell_angle_gamma 120.00
loop_
_atom_site_label
_atom_site_fract_x
_atom_site_fract_y
_atom_site_fract_z
La1 0.3333 0.6667 0.2500
Ce1 0.0171 0.2416 0.2500
Bi1 0.0687 0.4404 0.7500
# DOS at the Fermi energy = 2.69 states/eV per atom
# Mass density = 8.747 g/cm³
# ΔH_f (0 K) = -0.53 eV/atom
# Energy = -5.44 eV/atom
# ΔE to the lowest computed polymorph = 1.42 eV per formula unit


No. 20
# V5PC | Alexandria via LeMat-Bulk | PBE | relaxed
data_V5PC
_chemical_formula_sum 'V20 P4 C4'
_space_group_name_H-M_alt 'C 1 2/c 1'
_space_group_IT_number 15
_cell_length_a 8.646
_cell_length_b 5.302
_cell_length_c 8.147
_cell_angle_alpha 90.00
_cell_angle_beta 113.08
_cell_angle_gamma 90.00
loop_
_space_group_symop_operation_xyz
'x,y,z'
'-x,-y,-z'
'-x,y,-z+1/2'
'x,-y,z+1/2'
'x+1/2,y+1/2,z'
'-x+1/2,-y+1/2,-z'
'-x+1/2,y+1/2,-z+1/2'
'x+1/2,-y+1/2,z+1/2'
loop_
_atom_site_label
_atom_site_fract_x
_atom_site_fract_y
_atom_site_fract_z
V1 0.000 0.021 0.250
V2 0.131 0.326 0.042
V3 0.214 0.183 0.619
P1 0.000 0.495 0.750
C1 0.000 0.000 0.000
# DOS at the Fermi energy = 0.80 states/eV per atom
# Mass density = 5.755 g/cm³
# ΔH_f (0 K) = -0.32 eV/atom
# Energy = -8.93 eV/atom